[1]
YCoCuSi | PBE | optimized geometry

Cell lengths 4.5116, 4.5116, 4.5116 Å; angles 60.00, 60.00, 60.00 degrees
Closest atoms and distances in Å follow each position.
Sites, in units of the cell vectors:
Cu (0.7500, 0.7500, 0.7500)  4 Si 2.76, 4 Co 2.76
Si (0.0000, 0.0000, 0.0000)  4 Cu 2.76, 4 Y 2.76
Co (0.5000, 0.5000, 0.5000)  4 Cu 2.76, 4 Y 2.76
Y (0.2500, 0.2500, 0.2500)  4 Co 2.76, 4 Si 2.76

Polymorph energy (0 for the lowest one): 236 meV/atom
Spin magnetization: 1.37 μB/cell
Final energy: -5.641 eV/atom

[2]
LiHoPb2 | PBE | optimized geometry

Cell lengths 4.8038, 4.8038, 4.3954 Å; angles 90.00, 90.00, 90.00 degrees
Closest atoms and distances in Å follow each position.
Sites, in units of the cell vectors:
Ho (0.0000, 0.0000, 0.5000)  8 Pb 3.26, 4 Li 3.40
Li (0.5000, 0.5000, 0.5000)  8 Pb 3.26, 4 Ho 3.40
Pb (0.0000, 0.5000, 0.0000)  4 Ho 3.26, 4 Li 3.26, 4 Pb 3.40
Pb (0.5000, 0.0000, 0.0000)  4 Ho 3.26, 4 Li 3.26, 4 Pb 3.40

Spin magnetization: 0.00 μB/cell
Final energy: -3.860 eV/atom